# CsSnW2 GGA-PBE optimized geometry
# **Crystal system**: tetragonal
# **Energy relative to the elements**: 2.345 eV/atom
# **D(E_F)**: 3.5 states/eV/f.u.
data_CsSnW2
_chemical_formula_sum 'Cs2 Sn2 W4'
_cell_length_a 8.3701
_cell_length_b 8.3701
_cell_length_c 6.6016
_cell_angle_alpha 50.66
_cell_angle_beta 50.66
_cell_angle_gamma 90.00
_space_group_name_H-M_alt 'P 1'
_space_group_IT_number 1
_space_group_name_Hall 'P 1'
loop_
_atom_site_label
_atom_site_type_symbol
_atom_site_fract_x
_atom_site_fract_y
_atom_site_fract_z
Cs1 Cs 0.0000 0.0000 0.0000
Cs2 Cs 0.7500 0.2500 0.5000
Sn1 Sn 0.5000 0.5000 0.0000
Sn2 Sn 0.2500 0.7500 0.5000
W1 W 0.5737 0.1250 0.2500
W2 W 0.1763 0.6250 0.2500
W3 W 0.3750 0.4263 0.7500
W4 W 0.8750 0.8237 0.7500